Below is crystalline ScSi2P at its relaxed geometry, with properties calculated at the PBE-GGA level.

Computed properties:
E_form (uncorrected) in meV per atom: -112
Energy in hartree per atom: -0.2116
Mass density in Mg/m³: 3.34

Cell lengths 4.480, 4.480, 3.480 Å; angles 90.00, 90.00, 109.82 degrees
Atoms (fractional coordinates):
Sc 0.000 0.000 0.000
Si 0.000 0.500 0.500
Si 0.500 0.000 0.500
P 0.500 0.500 0.000